Ni2AgIO6: relaxed, PBE with a Hubbard U.

## Properties
Total DFT energy (no corrections): -44.79 eV for the cell shown
DOS at the Fermi energy: 5.34 states/eV/cell
Calculated density: 6.21 Mg/m³

Cell lengths 5.3193, 5.3205, 5.7692 Å; angles 117.38, 90.05, 119.98 degrees
With the nearest neighbours (Å) after each atom.
Space group P1 (No. 1)
Unique sites:
Ni: 0.0000 0.0000 0.0000 x1  6 O 2.09-2.24
Ni: 0.4842 0.9679 0.4522 x1  6 O 2.03-2.19
Ag: 0.2776 0.5541 0.8322 x1  3 O 2.28-2.29
I: 0.8023 0.6042 0.4069 x1  6 O 1.93-1.94
O: 0.0483 0.4720 0.2038 x1  1 I 1.94, 1 Ni 2.10
O: 0.1876 0.0244 0.6581 x1  1 I 1.93, 1 Ni 2.03
O: 0.4237 0.1557 0.2043 x1  1 I 1.93, 1 Ni 2.09
O: 0.6334 0.8204 0.6585 x1  1 I 1.93, 1 Ni 2.03
O: 0.7316 0.7802 0.2041 x1  1 I 1.94, 1 Ni 2.10
O: 0.8378 0.4700 0.6582 x1  1 I 1.93, 1 Ni 2.03